(1)
Density functional theory data (PBE) for an optimized crystal structure of Zn6Ga5Ag.

Summary:
The energy above the most stable polymorph in this dataset is 0.000 eV/atom. The crystal system is monoclinic. For the calculated volume, the calculation gives 199.8 Å³/cell. For the total energy, the calculation gives -25.2 eV for the cell shown. The formation energy comes out at 35 meV/atom.

Geometry as CIF:
```
data_Zn6Ga5Ag
_cell_length_a 4.157
_cell_length_b 7.889
_cell_length_c 6.408
_cell_angle_alpha 90.00
_cell_angle_beta 108.10
_cell_angle_gamma 90.00
_symmetry_space_group_name_H-M 'P 1 2/m 1'
_symmetry_Int_Tables_number 10
_symmetry_space_group_name_Hall '-P 2y'
loop_
_atom_site_label
_atom_site_type_symbol
_atom_site_fract_x
_atom_site_fract_y
_atom_site_fract_z
Zn1 Zn 0.000 0.248 0.000
Zn2 Zn 0.331 0.252 0.663
Ga1 Ga 0.163 0.500 0.326
Ga2 Ga 0.166 0.000 0.334
Ga3 Ga 0.500 0.000 0.000
Ag1 Ag 0.500 0.500 0.000
```

***

(2)
Density functional theory data (PBE) for an optimized crystal structure of Zn2Ga6Ag.

Summary:
The energy above the most stable polymorph in this dataset is 0.025 eV/atom. The crystal system is trigonal. For the calculated volume, the calculation gives 505.4 Å³/cell. For the total energy, the calculation gives -68.9 eV for the cell shown. The formation energy comes out at 67 meV/atom.

Geometry as CIF:
```
data_Zn2Ga6Ag
_cell_length_a 6.3424
_cell_length_b 6.3424
_cell_length_c 14.5066
_cell_angle_alpha 90.00
_cell_angle_beta 90.00
_cell_angle_gamma 120.00
_symmetry_space_group_name_H-M 'R 3'
_symmetry_Int_Tables_number 146
_symmetry_space_group_name_Hall 'R 3'
loop_
_atom_site_label
_atom_site_type_symbol
_atom_site_fract_x
_atom_site_fract_y
_atom_site_fract_z
Zn1 Zn 0.0000 0.0000 0.0000
Zn2 Zn 0.0000 0.0000 0.1819
Ga1 Ga 0.0825 0.4153 0.2578
Ga2 Ga 0.0884 0.6750 0.0743
Ag1 Ag 0.0000 0.0000 0.8168
```

***

(3)
Density functional theory data (PBE) for an optimized crystal structure of Zn4Ga2Ag.

Summary:
The energy above the most stable polymorph in this dataset is 0.000 eV/atom. The crystal system is triclinic. For the calculated volume, the calculation gives 245.9 Å³/cell. For the total energy, the calculation gives -27.2 eV for the cell shown. The formation energy comes out at 59 meV/atom.

Geometry as CIF:
```
data_Zn4Ga2Ag
_cell_length_a 5.257
_cell_length_b 7.022
_cell_length_c 7.874
_cell_angle_alpha 116.38
_cell_angle_beta 106.88
_cell_angle_gamma 90.57
_symmetry_space_group_name_H-M 'P 1'
_symmetry_Int_Tables_number 1
_symmetry_space_group_name_Hall 'P 1'
loop_
_atom_site_label
_atom_site_type_symbol
_atom_site_fract_x
_atom_site_fract_y
_atom_site_fract_z
Zn1 Zn 0.000 0.000 0.000
Zn2 Zn 0.005 0.282 0.358
Zn3 Zn 0.123 0.903 0.643
Zn4 Zn 0.441 0.821 0.939
Zn5 Zn 0.606 0.884 0.639
Zn6 Zn 0.737 0.585 0.334
Zn7 Zn 0.816 0.622 0.032
Zn8 Zn 0.955 0.264 0.798
Ga1 Ga 0.216 0.470 0.205
Ga2 Ga 0.224 0.922 0.331
Ga3 Ga 0.412 0.372 0.684
Ga4 Ga 0.717 0.988 0.354
Ag1 Ag 0.529 0.224 0.976
Ag2 Ag 0.913 0.580 0.694
```